[1]
Entry from Alexandria via LeMat-Bulk: crystalline La2Pm2Nd4Er at its relaxed geometry (PBE).

Structure (POSCAR):
```
La2Pm2Nd4Er
1.0
-3.549 0.174 -1.055
2.735 -8.446 -4.079
-2.827 -0.639 9.405
Er La Nd Pm
1 2 4 2
Direct
0.000 0.000 0.000
0.665 0.330 0.999
0.335 0.670 0.001
0.519 0.037 0.331
0.481 0.963 0.669
0.815 0.629 0.667
0.185 0.371 0.333
0.853 0.706 0.333
0.147 0.294 0.667
```

Calculated values
Energy of formation from the pure elements in eV/atom: 0.0114
Final energy in hartree per atom: -0.17512
M_tot in μB/atom: 0.000

---

[2]
Entry from Alexandria via LeMat-Bulk: crystalline LaPm2Nd5Er at its relaxed geometry (PBE).

Structure (POSCAR):
```
LaPm2Nd5Er
1.0
-2.494 -6.674 -5.484
6.228 2.565 -5.955
3.370 -2.715 9.142
Nd Pm Er La
10 4 2 2
Direct
0.500 0.500 0.000
0.000 0.000 0.000
0.655 0.155 0.726
0.929 0.429 0.274
0.155 0.071 0.726
0.429 0.345 0.274
0.845 0.929 0.274
0.345 0.845 0.274
0.571 0.655 0.726
0.071 0.571 0.726
0.884 0.616 0.000
0.384 0.884 0.000
0.116 0.384 0.000
0.616 0.116 0.000
0.750 0.250 0.500
0.250 0.750 0.500
0.250 0.250 0.500
0.750 0.750 0.500
```

Calculated values
Energy of formation from the pure elements in eV/atom: 0.2690
Final energy in hartree per atom: -0.16500
M_tot in μB/atom: 0.000

---

[3]
Entry from Alexandria via LeMat-Bulk: crystalline LaPmNd5Er2 at its relaxed geometry (PBE).

Structure (POSCAR):
```
LaPmNd5Er2
1.0
5.741 0.000 0.000
-2.870 10.217 0.000
0.000 0.000 10.718
Nd Er Pm La
10 4 2 2
Direct
0.389 0.778 0.027
0.611 0.222 0.527
0.705 0.409 0.205
0.523 0.046 0.240
0.719 0.438 0.812
0.281 0.562 0.312
0.477 0.954 0.740
0.016 0.033 0.025
0.295 0.591 0.705
0.984 0.967 0.525
0.883 0.767 0.823
0.888 0.775 0.234
0.117 0.233 0.323
0.112 0.225 0.734
0.800 0.600 0.511
0.200 0.400 0.011
0.416 0.833 0.448
0.584 0.167 0.948
```

Calculated values
Energy of formation from the pure elements in eV/atom: 0.1476
Final energy in hartree per atom: -0.16870
M_tot in μB/atom: 0.000

---

[4]
Entry from Alexandria via LeMat-Bulk: crystalline LaPm6Nd3Er2 at its relaxed geometry (PBE).

Structure (POSCAR):
```
LaPm6Nd3Er2
1.0
-5.918 0.118 2.190
3.963 -4.545 1.864
4.167 8.288 7.778
Nd Pm Er La
3 6 2 1
Direct
0.500 0.500 0.500
0.833 0.167 0.500
0.167 0.833 0.500
0.749 0.749 0.248
0.083 0.418 0.248
0.917 0.582 0.752
0.582 0.917 0.752
0.251 0.251 0.752
0.418 0.083 0.248
0.333 0.667 0.000
0.667 0.333 0.000
0.000 0.000 0.000
```

Calculated values
Energy of formation from the pure elements in eV/atom: 0.0187
Final energy in hartree per atom: -0.17344
M_tot in μB/atom: 0.000

---

[5]
Entry from Alexandria via LeMat-Bulk: crystalline La2PmNdEr at its relaxed geometry (PBE).

Structure (POSCAR):
```
La2PmNdEr
1.0
5.902 0.000 0.000
0.000 6.364 0.903
0.000 1.859 9.656
Nd Pm La Er
2 2 4 2
Direct
0.750 0.366 0.602
0.250 0.634 0.398
0.250 0.430 0.806
0.750 0.570 0.194
0.250 0.037 0.600
0.750 0.963 0.400
0.250 0.232 0.196
0.750 0.768 0.804
0.750 0.163 0.000
0.250 0.837 0.000
```

Calculated values
Energy of formation from the pure elements in eV/atom: 0.0337
Final energy in hartree per atom: -0.17469
M_tot in μB/atom: 0.000

---

[6]
Entry from Alexandria via LeMat-Bulk: crystalline La2PmNd6Er3 at its relaxed geometry (PBE).

Structure (POSCAR):
```
La2PmNd6Er3
1.0
6.305 -0.044 0.563
-3.189 5.439 0.563
-0.019 -0.034 12.043
Nd Er Pm La
6 3 1 2
Direct
0.247 0.247 0.256
0.914 0.582 0.256
0.753 0.753 0.744
0.582 0.914 0.256
0.086 0.418 0.744
0.418 0.086 0.744
0.166 0.834 0.500
0.500 0.500 0.500
0.834 0.166 0.500
0.000 0.000 0.000
0.667 0.333 0.000
0.333 0.667 0.000
```

Calculated values
Energy of formation from the pure elements in eV/atom: 0.0202
Final energy in hartree per atom: -0.17351
M_tot in μB/atom: 0.000

---

[7]
Entry from Alexandria via LeMat-Bulk: crystalline LaPm4NdEr2 at its relaxed geometry (PBE).

Structure (POSCAR):
```
LaPm4NdEr2
1.0
5.146 0.000 0.000
0.000 5.037 0.938
0.000 3.171 11.050
Er Pm La Nd
2 4 1 1
Direct
0.500 0.000 0.500
0.000 0.000 0.000
0.500 0.249 0.751
0.000 0.253 0.247
0.500 0.751 0.249
0.000 0.747 0.753
0.000 0.500 0.500
0.500 0.500 0.000
```

Calculated values
Energy of formation from the pure elements in eV/atom: 0.0210
Final energy in hartree per atom: -0.17298
M_tot in μB/atom: 0.000

---

[8]
Entry from Alexandria via LeMat-Bulk: crystalline LaPm5Nd2Er at its relaxed geometry (PBE).

Structure (POSCAR):
```
LaPm5Nd2Er
1.0
-2.420 7.258 -4.605
-6.207 1.834 6.153
9.576 -0.238 3.251
Nd Pm Er La
4 10 2 2
Direct
0.883 0.617 0.000
0.117 0.383 0.000
0.383 0.883 0.000
0.617 0.117 0.000
0.500 0.500 0.000
0.571 0.654 0.725
0.846 0.929 0.275
0.654 0.154 0.725
0.000 0.000 0.000
0.154 0.071 0.725
0.346 0.846 0.275
0.429 0.346 0.275
0.071 0.571 0.725
0.929 0.429 0.275
0.250 0.750 0.500
0.750 0.250 0.500
0.750 0.750 0.500
0.250 0.250 0.500
```

Calculated values
Energy of formation from the pure elements in eV/atom: 0.2646
Final energy in hartree per atom: -0.16496
M_tot in μB/atom: 0.000

---

[9]
Entry from Alexandria via LeMat-Bulk: crystalline La6PmNdEr2 at its relaxed geometry (PBE).

Structure (POSCAR):
```
La6PmNdEr2
1.0
-5.490 -7.081 -0.157
2.311 -1.644 -6.658
3.614 -1.340 5.518
La Er Pm Nd
6 2 1 1
Direct
0.804 0.956 0.355
0.196 0.044 0.645
0.560 0.359 0.717
0.196 0.600 0.645
0.804 0.400 0.355
0.440 0.641 0.283
0.841 0.908 0.815
0.159 0.092 0.185
0.000 0.500 0.000
0.500 0.000 0.000
```

Calculated values
Energy of formation from the pure elements in eV/atom: 0.1868
Final energy in hartree per atom: -0.17030
M_tot in μB/atom: 0.000

---

[10]
Entry from Alexandria via LeMat-Bulk: crystalline La2PmNd5Er at its relaxed geometry (PBE).

Structure (POSCAR):
```
La2PmNd5Er
1.0
-4.079 5.579 5.377
-5.514 -6.359 2.414
9.951 -1.751 2.236
Nd La Er Pm
10 4 2 2
Direct
0.363 0.863 0.287
0.576 0.637 0.713
0.500 0.500 0.000
0.863 0.924 0.287
0.076 0.576 0.713
0.000 0.000 0.000
0.137 0.076 0.713
0.424 0.363 0.287
0.924 0.424 0.287
0.637 0.137 0.713
0.620 0.120 0.000
0.880 0.620 0.000
0.120 0.380 0.000
0.380 0.880 0.000
0.250 0.750 0.500
0.750 0.250 0.500
0.250 0.250 0.500
0.750 0.750 0.500
```

Calculated values
Energy of formation from the pure elements in eV/atom: 0.2481
Final energy in hartree per atom: -0.16649
M_tot in μB/atom: 0.000

---

[11]
Entry from Alexandria via LeMat-Bulk: crystalline La2PmNd2Er2 at its relaxed geometry (PBE).

Structure (POSCAR):
```
La2PmNd2Er2
1.0
5.150 0.000 0.000
-2.575 5.748 0.287
0.000 -1.543 8.044
Er La Pm Nd
2 2 1 2
Direct
0.571 0.142 0.715
0.429 0.858 0.285
0.142 0.284 0.427
0.858 0.716 0.573
0.000 0.000 0.000
0.715 0.430 0.141
0.285 0.570 0.859
```

Calculated values
Energy of formation from the pure elements in eV/atom: 0.0233
Final energy in hartree per atom: -0.17379
M_tot in μB/atom: 0.000

---

[12]
Entry from Alexandria via LeMat-Bulk: crystalline La4PmNdEr2 at its relaxed geometry (PBE).

Structure (POSCAR):
```
La4PmNdEr2
1.0
-1.825 -2.507 1.983
1.876 -4.544 -4.018
10.286 -3.341 5.244
La Er Nd Pm
4 2 1 1
Direct
0.000 0.754 0.747
0.000 0.246 0.253
0.500 0.754 0.248
0.500 0.246 0.752
0.000 0.000 0.000
0.500 0.000 0.500
0.500 0.500 0.000
0.000 0.500 0.500
```

Calculated values
Energy of formation from the pure elements in eV/atom: 0.0106
Final energy in hartree per atom: -0.17580
M_tot in μB/atom: 0.000

---

The highest final energy belongs to which entry? LaPm5Nd2Er